Arrangement P

First-principles (meta-GGA SCAN) data for a PBEsol-optimized structure of PRuPt, as listed in the Alexandria database.

Unit cell a=3.919 b=3.919 c=3.919 alpha=60.00 beta=60.00 gamma=60.00
Element x y z (fractional)
Ru  0.500  0.500  0.500
Pt  0.000  0.000  0.000
P  0.750  0.750  0.750

Calculated values
D(E_F) ... 0.93 states/eV per cell
Space-group type ... F-43m (216)

Arrangement Q

First-principles (meta-GGA SCAN) data for a PBEsol-optimized structure of PRuPt, as listed in the Alexandria database.

Unit cell a=2.833 b=2.833 c=6.143 alpha=97.18 beta=97.18 gamma=117.25
Element x y z (fractional)
P  0.007  0.007  0.014
Pt  0.347  0.347  0.693
Ru  0.647  0.647  0.293

Calculated values
D(E_F) ... 1.46 states/eV per cell
Space-group type ... Fmm2 (42)

Arrangement R

First-principles (meta-GGA SCAN) data for a PBEsol-optimized structure of PRuPt, as listed in the Alexandria database.

Unit cell a=2.852 b=2.852 c=5.843 alpha=90.00 beta=90.00 gamma=120.00
Element x y z (fractional)
P  0.000  0.000  0.016
Pt  0.333  0.667  0.690
Ru  0.667  0.333  0.295

Calculated values
D(E_F) ... 1.83 states/eV per cell
Space-group type ... P3m1 (156)

What should be chosen as the most stable of them? Choose arrangement P.

Arrangement P

First-principles (meta-GGA SCAN) data for a PBEsol-optimized structure of SbPPt2, as listed in the Alexandria database.

Unit cell a=3.784 b=4.393 c=4.393 alpha=103.52 beta=90.00 gamma=90.00
Element x y z (fractional)
P  0.500  0.000  0.000
Pt  0.000  0.788  0.212
Pt  0.000  0.212  0.788
Sb  0.500  0.500  0.500

Calculated values
D(E_F) ... 2.08 states/eV per cell
Space-group type ... Cmmm (65)

Arrangement Q

First-principles (meta-GGA SCAN) data for a PBEsol-optimized structure of SbPPt2, as listed in the Alexandria database.

Unit cell a=3.952 b=3.952 c=5.080 alpha=112.89 beta=112.89 gamma=90.00
Element x y z (fractional)
P  0.250  0.750  0.500
Pt  0.000  0.000  0.000
Pt  0.750  0.250  0.500
Sb  0.500  0.500  0.000

Calculated values
D(E_F) ... 2.27 states/eV per cell
Space-group type ... I-4m2 (119)

What should be chosen as the most stable of them? Choose arrangement P.

Arrangement P

First-principles (meta-GGA SCAN) data for a PBEsol-optimized structure of SbPPt, as listed in the Alexandria database.

Unit cell a=6.075 b=6.075 c=6.075 alpha=90.00 beta=90.00 gamma=90.00
Element x y z (fractional)
P  0.619  0.619  0.619
P  0.881  0.381  0.119
P  0.381  0.119  0.881
P  0.119  0.881  0.381
Pt  0.020  0.020  0.020
Pt  0.480  0.980  0.520
Pt  0.980  0.520  0.480
Pt  0.520  0.480  0.980
Sb  0.380  0.380  0.380
Sb  0.120  0.620  0.880
Sb  0.620  0.880  0.120
Sb  0.880  0.120  0.620

Calculated values
Space-group type ... P2_13 (198)

Arrangement Q

First-principles (meta-GGA SCAN) data for a PBEsol-optimized structure of SbPPt, as listed in the Alexandria database.

Unit cell a=2.959 b=4.624 c=4.624 alpha=120.00 beta=90.00 gamma=90.00
Element x y z (fractional)
Sb  0.500  0.000  0.000
Pt  0.500  0.667  0.333
P  0.000  0.333  0.667

Calculated values
D(E_F) ... 1.57 states/eV per cell
Space-group type ... P-6m2 (187)

What should be chosen as the most stable of them? Choose arrangement P.